VASP calculation (GGA-PBE) on crystalline Ba2MgOsN6 at its relaxed geometry.

Cell and atoms, written as CIF:
```
data_Ba2MgOsN6
_chemical_formula_sum 'Ba2 Mg1 Os1 N6'
_cell_length_a 5.8010
_cell_length_b 5.8010
_cell_length_c 5.8011
_cell_angle_alpha 119.99
_cell_angle_beta 119.99
_cell_angle_gamma 60.02
_space_group_name_H-M_alt 'P 1'
_space_group_IT_number 1
_space_group_name_Hall 'P 1'
loop_
_atom_site_label
_atom_site_type_symbol
_atom_site_fract_x
_atom_site_fract_y
_atom_site_fract_z
N1 N 0.7636 0.2395 0.2635
N2 N 0.7620 0.7620 0.2590
N3 N 0.7605 0.2364 0.7365
N4 N 0.2364 0.7605 0.7365
N5 N 0.2395 0.7636 0.2635
N6 N 0.2380 0.2380 0.7410
Ba1 Ba 0.7498 0.7498 0.7499
Ba2 Ba 0.2502 0.2502 0.2501
Os1 Os 0.0000 0.0000 0.5000
Mg1 Mg 0.5000 0.5000 0.0000
```

Output
Energy above the lowest structure with this stoichiometry   2 meV/atom
Symmetry   No. 12
Crystal system   monoclinic

---

VASP calculation (GGA-PBE) on crystalline Ba2MgOsN6 at its relaxed geometry.

Cell and atoms, written as CIF:
```
data_Ba2MgOsN6
_chemical_formula_sum 'Ba2 Mg1 Os1 N6'
_cell_length_a 5.8166
_cell_length_b 5.8166
_cell_length_c 5.8166
_cell_angle_alpha 120.02
_cell_angle_beta 120.02
_cell_angle_gamma 89.96
_space_group_name_H-M_alt 'P 1'
_space_group_IT_number 1
_space_group_name_Hall 'P 1'
loop_
_atom_site_label
_atom_site_type_symbol
_atom_site_fract_x
_atom_site_fract_y
_atom_site_fract_z
Ba1 Ba 0.7500 0.2500 0.5000
Ba2 Ba 0.2500 0.7500 0.5000
N1 N 0.2408 0.2350 0.4758
N2 N 0.2378 0.2378 0.0000
N3 N 0.2350 0.7592 0.9942
N4 N 0.7650 0.2408 0.0058
N5 N 0.7622 0.7622 0.0000
N6 N 0.7592 0.7650 0.5242
Mg1 Mg 0.5000 0.5000 0.0000
Os1 Os 0.0000 0.0000 0.0000
```

Output
Energy above the lowest structure with this stoichiometry   0 meV/atom
Symmetry   No. 87
Crystal system   tetragonal

---

VASP calculation (GGA-PBE) on crystalline Ba2MgOsN6 at its relaxed geometry.

Cell and atoms, written as CIF:
```
data_Ba2MgOsN6
_chemical_formula_sum 'Ba2 Mg1 Os1 N6'
_cell_length_a 5.8026
_cell_length_b 5.8026
_cell_length_c 5.8026
_cell_angle_alpha 120.08
_cell_angle_beta 120.08
_cell_angle_gamma 89.87
_space_group_name_H-M_alt 'P 1'
_space_group_IT_number 1
_space_group_name_Hall 'P 1'
loop_
_atom_site_label
_atom_site_type_symbol
_atom_site_fract_x
_atom_site_fract_y
_atom_site_fract_z
Ba1 Ba 0.2500 0.7500 0.5000
Ba2 Ba 0.7500 0.2500 0.5000
Mg1 Mg 0.5000 0.5000 0.0000
Os1 Os 0.0000 0.0000 0.0000
N1 N 0.7623 0.7623 0.0000
N2 N 0.2382 0.7618 0.0000
N3 N 0.2382 0.2382 0.4765
N4 N 0.2377 0.2377 0.0000
N5 N 0.7618 0.2382 0.0000
N6 N 0.7618 0.7618 0.5235
```

Output
Energy above the lowest structure with this stoichiometry   2 meV/atom
Symmetry   No. 139
Crystal system   tetragonal

---

VASP calculation (GGA-PBE) on crystalline BaMgNb at its relaxed geometry.

Cell and atoms, written as CIF:
```
data_BaMgNb
_chemical_formula_sum 'Ba1 Mg1 Nb1'
_cell_length_a 5.5937
_cell_length_b 5.5937
_cell_length_c 5.5937
_cell_angle_alpha 60.00
_cell_angle_beta 60.00
_cell_angle_gamma 60.00
_space_group_name_H-M_alt 'P 1'
_space_group_IT_number 1
_space_group_name_Hall 'P 1'
loop_
_atom_site_label
_atom_site_type_symbol
_atom_site_fract_x
_atom_site_fract_y
_atom_site_fract_z
Nb1 Nb 0.7500 0.7500 0.7500
Ba1 Ba 0.0000 0.0000 0.0000
Mg1 Mg 0.2500 0.2500 0.2500
```

Output
Energy above the lowest structure with this stoichiometry   411 meV/atom
Symmetry   No. 216
Crystal system   cubic

---

VASP calculation (GGA-PBE) on crystalline BaMgNb at its relaxed geometry.

Cell and atoms, written as CIF:
```
data_BaMgNb
_chemical_formula_sum 'Ba1 Mg1 Nb1'
_cell_length_a 5.3849
_cell_length_b 5.3849
_cell_length_c 5.3849
_cell_angle_alpha 60.00
_cell_angle_beta 60.00
_cell_angle_gamma 60.00
_space_group_name_H-M_alt 'P 1'
_space_group_IT_number 1
_space_group_name_Hall 'P 1'
loop_
_atom_site_label
_atom_site_type_symbol
_atom_site_fract_x
_atom_site_fract_y
_atom_site_fract_z
Nb1 Nb 0.7500 0.7500 0.7500
Mg1 Mg 0.0000 0.0000 0.0000
Ba1 Ba 0.2500 0.2500 0.2500
```

Output
Energy above the lowest structure with this stoichiometry   0 meV/atom
Symmetry   No. 216
Crystal system   cubic

---

VASP calculation (GGA-PBE) on crystalline Ba2MgNbS6 at its relaxed geometry.

Cell and atoms, written as CIF:
```
data_Ba2MgNbS6
_chemical_formula_sum 'Ba2 Mg1 Nb1 S6'
_cell_length_a 6.9822
_cell_length_b 6.9822
_cell_length_c 6.9822
_cell_angle_alpha 60.00
_cell_angle_beta 60.00
_cell_angle_gamma 90.00
_space_group_name_H-M_alt 'P 1'
_space_group_IT_number 1
_space_group_name_Hall 'P 1'
loop_
_atom_site_label
_atom_site_type_symbol
_atom_site_fract_x
_atom_site_fract_y
_atom_site_fract_z
Mg1 Mg 0.5000 0.5000 0.0000
S1 S 0.2471 0.7529 0.0000
S2 S 0.7529 0.7529 0.4942
S3 S 0.7529 0.7529 0.0000
S4 S 0.7529 0.2471 0.0000
S5 S 0.2471 0.2471 0.0000
S6 S 0.2471 0.2471 0.5058
Ba1 Ba 0.2500 0.7500 0.5000
Ba2 Ba 0.7500 0.2500 0.5000
Nb1 Nb 0.0000 0.0000 0.0000
```

Output
Symmetry   No. 225
Crystal system   cubic

---

VASP calculation (GGA-PBE) on crystalline BaNdMgTe3 at its relaxed geometry.

Cell and atoms, written as CIF:
```
data_BaNdMgTe3
_chemical_formula_sum 'Ba2 Nd2 Mg2 Te6'
_cell_length_a 8.1563
_cell_length_b 8.1563
_cell_length_c 11.8558
_cell_angle_alpha 90.00
_cell_angle_beta 90.00
_cell_angle_gamma 147.87
_space_group_name_H-M_alt 'P 1'
_space_group_IT_number 1
_space_group_name_Hall 'P 1'
loop_
_atom_site_label
_atom_site_type_symbol
_atom_site_fract_x
_atom_site_fract_y
_atom_site_fract_z
Mg1 Mg 0.9670 0.0330 0.2500
Mg2 Mg 0.0330 0.9670 0.7500
Ba1 Ba 0.7460 0.2540 0.7500
Ba2 Ba 0.2540 0.7460 0.2500
Nd1 Nd 0.5000 0.5000 0.0000
Nd2 Nd 0.5000 0.5000 0.5000
Te1 Te 0.4230 0.5770 0.7500
Te2 Te 0.1424 0.8576 0.5632
Te3 Te 0.8576 0.1424 0.4368
Te4 Te 0.5770 0.4230 0.2500
Te5 Te 0.1424 0.8576 0.9368
Te6 Te 0.8576 0.1424 0.0632
```

Output
Symmetry   No. 63
Crystal system   orthorhombic

---

VASP calculation (GGA-PBE) on crystalline BaMgNiSn at its relaxed geometry.

Cell and atoms, written as CIF:
```
data_BaMgNiSn
_chemical_formula_sum 'Ba1 Mg1 Ni1 Sn1'
_cell_length_a 5.2398
_cell_length_b 5.2398
_cell_length_c 5.2398
_cell_angle_alpha 60.00
_cell_angle_beta 60.00
_cell_angle_gamma 60.00
_space_group_name_H-M_alt 'P 1'
_space_group_IT_number 1
_space_group_name_Hall 'P 1'
loop_
_atom_site_label
_atom_site_type_symbol
_atom_site_fract_x
_atom_site_fract_y
_atom_site_fract_z
Mg1 Mg 0.7500 0.7500 0.7500
Ba1 Ba 0.0000 0.0000 0.0000
Ni1 Ni 0.5000 0.5000 0.5000
Sn1 Sn 0.2500 0.2500 0.2500
```

Output
Energy above the lowest structure with this stoichiometry   122 meV/atom
Symmetry   No. 216
Crystal system   cubic

---

Values of energy, in order: -6.375; -6.378; -6.375; -2.937; -3.348; -5.375; -4.216; -3.152, all in eV/atom.